[1]
Material: YNi2Pb
Method: DFT, PBE-GGA
State: relaxed

## Properties
* N(E_F): 2.29 states/eV/cell
* space-group type: P4/mmm
* DFT total energy: -5.5457 eV per atom
* DFT formation energy: -0.112 eV per atom

Unit cell a=3.4555 b=3.4555 c=6.3644 alpha=90.00 beta=90.00 gamma=90.06
Fractional positions:
Pb  0.5000  0.5000  0.2500
Ni  0.0000  0.0000  0.5074
Ni  0.0000  0.0000  0.9926
Y  0.5000  0.5000  0.7500


[2]
Material: Y2NiPb
Method: DFT, PBE-GGA
State: relaxed

## Properties
* N(E_F): 4.00 states/eV/cell
* space-group type: I-4m2
* DFT total energy: -5.8071 eV per atom
* DFT formation energy: -0.203 eV per atom

Unit cell a=6.0287 b=6.0287 c=6.0287 alpha=137.99 beta=137.99 gamma=60.91
Fractional positions:
Ni  0.5000  0.5000  0.0000
Pb  0.7500  0.2500  0.5000
Y  0.2500  0.7500  0.5000
Y  0.0000  0.0000  0.0000


[3]
Material: YNiPb2
Method: DFT, PBE-GGA
State: relaxed

## Properties
* N(E_F): 2.83 states/eV/cell
* space-group type: P4/mmm
* DFT total energy: -4.9406 eV per atom
* DFT formation energy: -0.025 eV per atom

Unit cell a=3.4584 b=3.4584 c=7.7539 alpha=90.00 beta=90.00 gamma=90.00
Fractional positions:
Ni  0.5000  0.5000  0.7500
Pb  0.0000  0.0000  0.5441
Pb  0.0000  0.0000  0.9559
Y  0.5000  0.5000  0.2500